No. 1
# Sb2PIrSe, relaxed, DFT PBE-GGA
data_Sb2PIrSe
_space_group_name_H-M_alt 'P 4/m m m'
_space_group_IT_number 123
_space_group_name_Hall '-P 4 2'
_cell_length_a 5.0582
_cell_length_b 5.0582
_cell_length_c 4.5435
_cell_angle_alpha 90.00
_cell_angle_beta 90.00
_cell_angle_gamma 90.00
loop_
_atom_site_label
_atom_site_type_symbol
_atom_site_fract_x
_atom_site_fract_y
_atom_site_fract_z
_atom_site_occupancy
Sb1 Sb 0.0000 0.5000 0.0000 1
P1 P 0.0000 0.0000 0.0000 1
Ir1 Ir 0.5000 0.5000 0.5000 1
Se1 Se 0.0000 0.0000 0.5000 1
# Density of states at the Fermi level ... 2.30 states/eV per cell
# Theoretical density ... 7.8 g/cm³
# Uncorrected energy ... -4.13 eV/atom


No. 2
# SiSb2PIr, relaxed, DFT PBE-GGA
data_SiSb2PIr
_space_group_name_H-M_alt 'P 4/m m m'
_space_group_IT_number 123
_space_group_name_Hall '-P 4 2'
_cell_length_a 5.2718
_cell_length_b 5.2718
_cell_length_c 4.4642
_cell_angle_alpha 90.00
_cell_angle_beta 90.00
_cell_angle_gamma 90.00
loop_
_atom_site_label
_atom_site_type_symbol
_atom_site_fract_x
_atom_site_fract_y
_atom_site_fract_z
_atom_site_occupancy
Si1 Si 0.0000 0.0000 0.0000 1
Sb1 Sb 0.0000 0.5000 0.5000 1
P1 P 0.5000 0.5000 0.0000 1
Ir1 Ir 0.0000 0.0000 0.5000 1
# Density of states at the Fermi level ... 4.17 states/eV per cell
# Theoretical density ... 6.6 g/cm³
# Uncorrected energy ... -4.99 eV/atom


No. 3
# TaSbP2Ir, relaxed, DFT PBE-GGA
data_TaSbP2Ir
_space_group_name_H-M_alt 'P 4/m m m'
_space_group_IT_number 123
_space_group_name_Hall '-P 4 2'
_cell_length_a 4.4315
_cell_length_b 4.4315
_cell_length_c 5.4010
_cell_angle_alpha 90.00
_cell_angle_beta 90.00
_cell_angle_gamma 90.00
loop_
_atom_site_label
_atom_site_type_symbol
_atom_site_fract_x
_atom_site_fract_y
_atom_site_fract_z
_atom_site_occupancy
Ta1 Ta 0.0000 0.0000 0.0000 1
Sb1 Sb 0.5000 0.5000 0.0000 1
P1 P 0.0000 0.5000 0.5000 1
Ir1 Ir 0.0000 0.0000 0.5000 1
# Density of states at the Fermi level ... 5.87 states/eV per cell
# Theoretical density ... 8.7 g/cm³
# Uncorrected energy ... -6.41 eV/atom


| no. | E_form (uncorrected) (kJ/mol of formula units) |
| --- | --- |
| 1 | 514 |
| 2 | 288 |
| 3 | 350 |